! PBE NaLi2MgSi, relaxed; values from VASP
! Uncorrected formation energy (eV per atom): 0.0236
! Crystal system: tetragonal
! SG: No. 123
! VASP energy (eV per atom): -2.41
! ρ (Mg/m³): 1.18
! V (Å³/cell): 125.4
&SYSTEM
  ibrav = 0, nat = 5, ntyp = 4
/
ATOMIC_SPECIES
Si 28.09 Si.upf
Mg 24.30 Mg.upf
Li 6.94 Li.upf
Na 22.99 Na.upf
CELL_PARAMETERS angstrom
-1.9067 -4.0128 2.2800
-1.1139 -1.9939 -4.4407
4.5099 -2.2194 -0.1347
ATOMIC_POSITIONS crystal
Si 0.0000 0.0000 0.0000
Mg 0.0000 0.0000 0.5000
Li 0.5000 0.0000 0.0000
Na 0.5000 0.5000 0.5000
Li 0.0000 0.5000 0.0000

=====

! PBE NaLiMgSn, relaxed; values from VASP
! Crystal system: cubic
! SG: No. 216
! VASP energy (eV per atom): -2.47
! ρ (Mg/m³): 3.28
! V (Å³/cell): 87.4
&SYSTEM
  ibrav = 0, nat = 4, ntyp = 4
/
ATOMIC_SPECIES
Mg 24.30 Mg.upf
Li 6.94 Li.upf
Na 22.99 Na.upf
Sn 118.71 Sn.upf
CELL_PARAMETERS angstrom
-4.4761 -0.8139 2.0306
-1.7557 -4.6470 0.3790
-0.3499 -2.1739 4.4691
ATOMIC_POSITIONS crystal
Mg 0.5000 0.5000 0.5000
Li 0.0000 0.0000 0.0000
Na 0.7500 0.7500 0.7500
Sn 0.2500 0.2500 0.2500

=====

What is the VASP energy in the first record? -2.41 eV per atom

=====

V of number 1 (NaLi2MgSi)? 125.4 Å³/cell

=====

Which value of VASP energy does entry 1 give? -2.41 eV per atom

=====

Which value of V does entry 1 give? 125.4 Å³/cell